1.
Material: Y2MnFeO6
Method: DFT, GGA+U
State: optimized geometry

Electronic total energy   -8.097 eV per atom
Symmetry   P2_1/c (14)

Cell lengths 5.7121, 5.3198, 9.1726 Å; angles 55.65, 90.00, 90.00 degrees
Fractional coordinates of all 20 atoms:
Y: 0.9257 0.7264 0.7516
Y: 0.4257 0.2736 0.7484
Y: 0.0743 0.2736 0.2484
Y: 0.5743 0.7264 0.2516
Mn: 0.5000 0.0000 0.5000
Mn: 0.0000 0.0000 0.0000
Fe: 0.5000 0.5000 0.0000
Fe: 0.0000 0.5000 0.5000
O: 0.3194 0.3510 0.4463
O: 0.8194 0.6490 0.0537
O: 0.7076 0.2363 0.9409
O: 0.2076 0.7637 0.5591
O: 0.6806 0.6490 0.5537
O: 0.1806 0.3510 0.9463
O: 0.2924 0.7637 0.0591
O: 0.7924 0.2363 0.4409
O: 0.4589 0.1286 0.2566
O: 0.9589 0.8714 0.2434
O: 0.5411 0.8714 0.7434
O: 0.0411 0.1286 0.7566

=====

2.
Material: MnZn2FeO4
Method: DFT, GGA+U
State: optimized geometry

Electronic total energy   -5.857 eV per atom
Symmetry   Fmm2 (42)

Cell lengths 4.7285, 4.7285, 5.7274 Å; angles 113.95, 113.95, 90.94 degrees
Fractional coordinates of all 8 atoms:
Mn: 0.9970 0.9970 0.9941
Zn: 0.7513 0.2513 0.5027
Zn: 0.2513 0.7513 0.5027
Fe: 0.5102 0.5102 0.0205
O: 0.6124 0.6124 0.7356
O: 0.3784 0.8763 0.2547
O: 0.8763 0.3784 0.2547
O: 0.1232 0.1232 0.7356

=====

3.
Material: MnZnFe2O4
Method: DFT, GGA+U
State: optimized geometry

Electronic total energy   -6.385 eV per atom
Symmetry   C2/c (15)

Cell lengths 6.2779, 6.2779, 6.2134 Å; angles 120.12, 120.12, 90.21 degrees
Fractional coordinates of all 16 atoms:
Mn: 0.0000 0.5000 0.0000
Mn: 0.0000 0.5000 0.5000
Zn: 0.5000 0.5000 0.5000
Zn: 0.0000 0.0000 0.0000
Fe: 0.5000 0.0000 0.0000
Fe: 0.5000 0.0000 0.5000
Fe: 0.0000 0.0000 0.5000
Fe: 0.5000 0.5000 0.0000
O: 0.2497 0.7627 0.0148
O: 0.7373 0.2503 0.4852
O: 0.2627 0.7497 0.5148
O: 0.7503 0.2373 0.9852
O: 0.7319 0.7305 0.9852
O: 0.7695 0.7681 0.5148
O: 0.2305 0.2319 0.4852
O: 0.2681 0.2695 0.0148

=====

4.
Material: MnZnFe4O8
Method: DFT, GGA+U
State: optimized geometry

Electronic total energy   -6.590 eV per atom
Symmetry   F-43m (216)

Cell lengths 6.0960, 6.0960, 6.0960 Å; angles 90.00, 60.00, 120.00 degrees
Fractional coordinates of all 14 atoms:
Mn: 0.0000 0.0000 0.0000
Zn: 0.5000 0.7500 0.7500
Fe: 0.7496 0.3748 0.8755
Fe: 0.2504 0.3748 0.3748
Fe: 0.2504 0.8755 0.3748
Fe: 0.7496 0.3748 0.3748
O: 0.2772 0.1386 0.5842
O: 0.7228 0.1386 0.1386
O: 0.7228 0.5842 0.1386
O: 0.2772 0.1386 0.1386
O: 0.2289 0.6144 0.1567
O: 0.7711 0.6144 0.6144
O: 0.7711 0.1567 0.6144
O: 0.2289 0.6144 0.6144

=====

5.
Material: MnZn3Fe8O16
Method: DFT, GGA+U
State: optimized geometry

Electronic total energy   -6.360 eV per atom
Symmetry   P-4m2 (115)

Cell lengths 6.0656, 6.0656, 8.5881 Å; angles 90.00, 90.00, 90.00 degrees
Fractional coordinates of all 28 atoms:
Mn: 0.5000 0.5000 0.0000
Zn: 0.0000 0.0000 0.5000
Zn: 0.5000 0.0000 0.7494
Zn: 0.0000 0.5000 0.2506
Fe: 0.5000 0.7515 0.3771
Fe: 0.0000 0.2488 0.8727
Fe: 0.2488 0.0000 0.1273
Fe: 0.7515 0.5000 0.6229
Fe: 0.7512 0.0000 0.1273
Fe: 0.2485 0.5000 0.6229
Fe: 0.5000 0.2485 0.3771
Fe: 0.0000 0.7512 0.8727
O: 0.5000 0.2715 0.6150
O: 0.0000 0.7703 0.1139
O: 0.2715 0.5000 0.3850
O: 0.7703 0.0000 0.8861
O: 0.7285 0.5000 0.3850
O: 0.2297 0.0000 0.8861
O: 0.5000 0.7285 0.6150
O: 0.0000 0.2297 0.1139
O: 0.5000 0.2223 0.1409
O: 0.0000 0.7300 0.6334
O: 0.7300 0.0000 0.3666
O: 0.2223 0.5000 0.8591
O: 0.2700 0.0000 0.3666
O: 0.7777 0.5000 0.8591
O: 0.5000 0.7777 0.1409
O: 0.0000 0.2700 0.6334

=====

6.
Material: ZrMn2FeO6
Method: DFT, GGA+U
State: optimized geometry

Electronic total energy   -7.776 eV per atom
Symmetry   P1 (1)

Cell lengths 5.3375, 5.2584, 5.4770 Å; angles 62.92, 64.20, 58.51 degrees
Fractional coordinates of all 10 atoms:
Zr: 0.3075 0.3061 0.0746
Mn: 0.5222 0.5211 0.4516
Mn: 0.0133 0.0173 0.9576
Fe: 0.8056 0.7980 0.5829
O: 0.6317 0.2316 0.2460
O: 0.2469 0.8963 0.2358
O: 0.9135 0.6445 0.2215
O: 0.3855 0.7264 0.7453
O: 0.7225 0.1418 0.7400
O: 0.1129 0.3785 0.7598

=====

7.
Material: ZrMnFe2O6
Method: DFT, GGA+U
State: optimized geometry

Electronic total energy   -7.515 eV per atom
Symmetry   P1 (1)

Cell lengths 5.3521, 5.2012, 5.4859 Å; angles 63.33, 63.51, 58.82 degrees
Fractional coordinates of all 10 atoms:
Zr: 0.3195 0.3141 0.0529
Mn: 0.8189 0.8084 0.5614
Fe: 0.5225 0.5339 0.4322
Fe: 0.0105 0.0130 0.9604
O: 0.6306 0.2034 0.2592
O: 0.2227 0.9277 0.2181
O: 0.9229 0.6275 0.2581
O: 0.3889 0.7322 0.7504
O: 0.7427 0.0900 0.7586
O: 0.0824 0.4113 0.7638

=====

Number 1: spin magnetization 14.0 μB/cell. Number 2: spin magnetization 9.0 μB/cell. Number 3: spin magnetization 26.0 μB/cell. Number 4: spin magnetization 25.0 μB/cell. Number 5: spin magnetization 45.0 μB/cell. Number 6: spin magnetization 10.0 μB/cell. Number 7: spin magnetization 9.0 μB/cell.